Density functional theory data (GGA+U) for crystalline NiOsN2O at its relaxed geometry.

**Total energy**: -5.4102 eV per atom
**Crystal system**: tetragonal
**DOS(E_F)**: 2.70 states/eV per cell
**Calculated volume**: 9.7 Å³ per atom

Unit cell a=3.666 b=3.666 c=3.614 alpha=90.00 beta=90.00 gamma=90.00
Positions (direct):
Ni 0.000 0.000 0.000
Os 0.500 0.500 0.500
O 0.000 0.000 0.500
N 0.000 0.500 0.000
N 0.500 0.000 0.000